Material: MgZrSi2
Method: DFT, SCAN
State: PBEsol geometry

Values from the calculation:
- final energy (Ha/atom) = -0.5210
- crystal system = tetragonal
- calculated volume (Å³ per cell) = 65.4
- space group = I4/mmm (139)
- raw formation energy (eV per atom) = -0.25

Structure (CIF):
```
data_MgZrSi2
_chemical_formula_sum 'Mg1 Zr1 Si2'
_cell_length_a 5.0008
_cell_length_b 5.0008
_cell_length_c 5.0008
_cell_angle_alpha 133.16
_cell_angle_beta 133.16
_cell_angle_gamma 68.40
_symmetry_space_group_name_H-M 'P 1'
_symmetry_Int_Tables_number 1
_symmetry_space_group_name_Hall 'P 1'
loop_
_atom_site_label
_atom_site_type_symbol
_atom_site_fract_x
_atom_site_fract_y
_atom_site_fract_z
_atom_site_occupancy
Mg1 Mg 0.0000 0.0000 0.0000 1
Zr1 Zr 0.5000 0.5000 0.0000 1
Si1 Si 0.2500 0.7500 0.5000 1
Si2 Si 0.7500 0.2500 0.5000 1
```

Material: Tl2ZnOs
Method: DFT, SCAN
State: PBEsol geometry

Values from the calculation:
- final energy (Ha/atom) = -2.0849
- crystal system = tetragonal
- calculated volume (Å³ per cell) = 72.4
- space group = I-4m2 (119)
- E above lowest polymorph (meV/atom) = 181
- energy relative to the elements (eV per atom) = 0.79

Structure (CIF):
```
data_Tl2ZnOs
_chemical_formula_sum 'Tl2 Zn1 Os1'
_cell_length_a 5.2427
_cell_length_b 5.2427
_cell_length_c 5.2427
_cell_angle_alpha 134.41
_cell_angle_beta 134.41
_cell_angle_gamma 66.45
_symmetry_space_group_name_H-M 'P 1'
_symmetry_Int_Tables_number 1
_symmetry_space_group_name_Hall 'P 1'
loop_
_atom_site_label
_atom_site_type_symbol
_atom_site_fract_x
_atom_site_fract_y
_atom_site_fract_z
_atom_site_occupancy
Tl1 Tl 0.0000 0.0000 0.0000 1
Tl2 Tl 0.7500 0.2500 0.5000 1
Zn1 Zn 0.5000 0.5000 0.0000 1
Os1 Os 0.2500 0.7500 0.5000 1
```

Material: LiHgTe
Method: DFT, SCAN
State: PBEsol geometry

Values from the calculation:
- final energy (Ha/atom) = -1.3350
- crystal system = trigonal
- calculated volume (Å³ per cell) = 70.0
- space group = P3m1 (156)
- E above lowest polymorph (meV/atom) = 0
- raw formation energy (eV per atom) = -0.39

Structure (CIF):
```
data_LiHgTe
_chemical_formula_sum 'Li1 Hg1 Te1'
_cell_length_a 4.3972
_cell_length_b 4.3972
_cell_length_c 4.1790
_cell_angle_alpha 90.00
_cell_angle_beta 90.00
_cell_angle_gamma 120.00
_symmetry_space_group_name_H-M 'P 1'
_symmetry_Int_Tables_number 1
_symmetry_space_group_name_Hall 'P 1'
loop_
_atom_site_label
_atom_site_type_symbol
_atom_site_fract_x
_atom_site_fract_y
_atom_site_fract_z
_atom_site_occupancy
Li1 Li 0.0000 0.0000 0.0000 1
Hg1 Hg 0.6667 0.3333 0.6890 1
Te1 Te 0.3333 0.6667 0.2756 1
```

Material: Sr4Ti3O10
Method: DFT, SCAN
State: PBEsol geometry

Values from the calculation:
- final energy (Ha/atom) = -0.5572
- crystal system = tetragonal
- calculated volume (Å³ per cell) = 212.7
- space group = I4/mmm (139)
- raw formation energy (eV per atom) = -3.43

Structure (CIF):
```
data_Sr4Ti3O10
_chemical_formula_sum 'Sr4 Ti3 O10'
_cell_length_a 14.2870
_cell_length_b 14.2870
_cell_length_c 14.2870
_cell_angle_alpha 164.33
_cell_angle_beta 164.33
_cell_angle_gamma 22.23
_symmetry_space_group_name_H-M 'P 1'
_symmetry_Int_Tables_number 1
_symmetry_space_group_name_Hall 'P 1'
loop_
_atom_site_label
_atom_site_type_symbol
_atom_site_fract_x
_atom_site_fract_y
_atom_site_fract_z
_atom_site_occupancy
Sr1 Sr 0.0685 0.0685 0.0000 1
Sr2 Sr 0.2023 0.2023 0.0000 1
Sr3 Sr 0.7977 0.7977 0.0000 1
Sr4 Sr 0.9315 0.9315 0.0000 1
Ti1 Ti 0.3597 0.3597 0.0000 1
Ti2 Ti 0.5000 0.5000 0.0000 1
Ti3 Ti 0.6403 0.6403 0.0000 1
O1 O 0.0000 0.5000 0.5000 1
O2 O 0.1390 0.6390 0.5000 1
O3 O 0.2903 0.2903 0.0000 1
O4 O 0.3610 0.8610 0.5000 1
O5 O 0.4304 0.4304 0.0000 1
O6 O 0.5000 0.0000 0.5000 1
O7 O 0.5696 0.5696 0.0000 1
O8 O 0.6390 0.1390 0.5000 1
O9 O 0.7097 0.7097 0.0000 1
O10 O 0.8610 0.3610 0.5000 1
```

Material: FeNi
Method: DFT, SCAN
State: PBEsol geometry

Values from the calculation:
- final energy (Ha/atom) = -0.6308
- crystal system = orthorhombic
- calculated volume (Å³ per cell) = 43.1
- space group = Pmmn (59)
- energy relative to the elements (eV per atom) = -0.01

Structure (CIF):
```
data_FeNi
_chemical_formula_sum 'Fe2 Ni2'
_cell_length_a 2.4411
_cell_length_b 4.0573
_cell_length_c 4.3496
_cell_angle_alpha 90.00
_cell_angle_beta 90.00
_cell_angle_gamma 90.00
_symmetry_space_group_name_H-M 'P 1'
_symmetry_Int_Tables_number 1
_symmetry_space_group_name_Hall 'P 1'
loop_
_atom_site_label
_atom_site_type_symbol
_atom_site_fract_x
_atom_site_fract_y
_atom_site_fract_z
_atom_site_occupancy
Fe1 Fe 0.2500 0.2500 0.0990 1
Fe2 Fe 0.7500 0.7500 0.9010 1
Ni1 Ni 0.2500 0.7500 0.4097 1
Ni2 Ni 0.7500 0.2500 0.5903 1
```

Material: Tl2NiAs
Method: DFT, SCAN
State: PBEsol geometry

Values from the calculation:
- final energy (Ha/atom) = -1.6434
- crystal system = tetragonal
- calculated volume (Å³ per cell) = 80.2
- space group = P4/mmm (123)
- E above lowest polymorph (meV/atom) = 617
- energy relative to the elements (eV per atom) = 0.55

Structure (CIF):
```
data_Tl2NiAs
_chemical_formula_sum 'Tl2 Ni1 As1'
_cell_length_a 4.5339
_cell_length_b 4.5339
_cell_length_c 3.9003
_cell_angle_alpha 90.00
_cell_angle_beta 90.00
_cell_angle_gamma 90.00
_symmetry_space_group_name_H-M 'P 1'
_symmetry_Int_Tables_number 1
_symmetry_space_group_name_Hall 'P 1'
loop_
_atom_site_label
_atom_site_type_symbol
_atom_site_fract_x
_atom_site_fract_y
_atom_site_fract_z
_atom_site_occupancy
Tl1 Tl 0.0000 0.5000 0.0000 1
Tl2 Tl 0.5000 0.0000 0.0000 1
Ni1 Ni 0.0000 0.0000 0.5000 1
As1 As 0.5000 0.5000 0.5000 1
```

Material: AsRu3
Method: DFT, SCAN
State: PBEsol geometry

Values from the calculation:
- final energy (Ha/atom) = -1.1416
- crystal system = tetragonal
- calculated volume (Å³ per cell) = 54.0
- space group = I4/mmm (139)
- E above lowest polymorph (meV/atom) = 46
- energy relative to the elements (eV per atom) = 0.10

Structure (CIF):
```
data_AsRu3
_chemical_formula_sum 'As1 Ru3'
_cell_length_a 4.6069
_cell_length_b 4.6069
_cell_length_c 4.6069
_cell_angle_alpha 131.32
_cell_angle_beta 131.32
_cell_angle_gamma 71.31
_symmetry_space_group_name_H-M 'P 1'
_symmetry_Int_Tables_number 1
_symmetry_space_group_name_Hall 'P 1'
loop_
_atom_site_label
_atom_site_type_symbol
_atom_site_fract_x
_atom_site_fract_y
_atom_site_fract_z
_atom_site_occupancy
As1 As 0.0000 0.0000 0.0000 1
Ru1 Ru 0.2500 0.7500 0.5000 1
Ru2 Ru 0.5000 0.5000 0.0000 1
Ru3 Ru 0.7500 0.2500 0.5000 1
```

Material: Zr2TaW
Method: DFT, SCAN
State: PBEsol geometry

Values from the calculation:
- final energy (Ha/atom) = -1.8104
- crystal system = cubic
- calculated volume (Å³ per cell) = 74.5
- space group = F-43m (216)
- E above lowest polymorph (meV/atom) = 0
- energy relative to the elements (eV per atom) = 0.15

Structure (CIF):
```
data_Zr2TaW
_chemical_formula_sum 'Zr2 Ta1 W1'
_cell_length_a 4.7238
_cell_length_b 4.7238
_cell_length_c 4.7238
_cell_angle_alpha 60.00
_cell_angle_beta 60.00
_cell_angle_gamma 60.00
_symmetry_space_group_name_H-M 'P 1'
_symmetry_Int_Tables_number 1
_symmetry_space_group_name_Hall 'P 1'
loop_
_atom_site_label
_atom_site_type_symbol
_atom_site_fract_x
_atom_site_fract_y
_atom_site_fract_z
_atom_site_occupancy
Zr1 Zr 0.0000 0.0000 0.0000 1
Zr2 Zr 0.2500 0.2500 0.2500 1
Ta1 Ta 0.5000 0.5000 0.5000 1
W1 W 0.7500 0.7500 0.7500 1
```